1.
Compound: TiHgBi
Source: Alexandria
Functional: PBE-GGA
Structure: relaxed

abc: 7.550 7.550 7.550
angles: 155.39 155.39 35.09
Positions (direct):
Ti 0.000 0.000 0.000
Hg 0.374 0.374 0.000
Bi 0.649 0.649 0.000

Space-group type ... I4mm, No. 107
E above lowest polymorph ... 31 meV per atom
ρ ... 10.18 g/cm³

2.
Compound: Hg5W4
Source: Alexandria
Functional: PBE-GGA
Structure: relaxed

abc: 8.354 8.354 5.576
angles: 90.00 90.00 120.00
Positions (direct):
Hg 0.000 0.292 0.250
Hg 0.000 0.708 0.750
Hg 0.292 0.000 0.250
Hg 0.292 0.292 0.750
Hg 0.333 0.667 0.000
Hg 0.333 0.667 0.500
Hg 0.667 0.333 0.000
Hg 0.667 0.333 0.500
Hg 0.708 0.000 0.750
Hg 0.708 0.708 0.250
W 0.000 0.000 0.000
W 0.000 0.000 0.500
W 0.000 0.373 0.750
W 0.000 0.627 0.250
W 0.373 0.000 0.750
W 0.373 0.373 0.250
W 0.627 0.000 0.250
W 0.627 0.627 0.750

Space-group type ... P6_3/mcm, No. 193
E above lowest polymorph ... 561 meV per atom
ρ ... 17.13 g/cm³

3.
Compound: CsPuPdSe2
Source: Alexandria
Functional: PBE-GGA
Structure: relaxed

abc: 8.694 4.918 7.956
angles: 90.00 100.47 90.00
Positions (direct):
Cs 0.000 0.184 0.250
Cs 0.000 0.816 0.750
Pu 0.500 0.487 0.750
Pu 0.500 0.513 0.250
Pd 0.500 0.000 0.000
Pd 0.500 0.000 0.500
Se 0.276 0.317 0.961
Se 0.276 0.683 0.461
Se 0.724 0.317 0.539
Se 0.724 0.683 0.039

E_form (uncorrected) ... -1.03 eV/atom
Space-group type ... P2/c, No. 13
ρ ... 6.37 g/cm³

4.
Compound: AgHgPd5
Source: Alexandria
Functional: PBE-GGA
Structure: relaxed

abc: 5.089 5.089 10.579
angles: 90.00 90.00 64.69
Positions (direct):
Ag 0.128 0.872 0.750
Ag 0.872 0.128 0.250
Hg 0.500 0.500 0.000
Hg 0.500 0.500 0.500
Pd 0.090 0.370 0.618
Pd 0.090 0.370 0.882
Pd 0.370 0.090 0.118
Pd 0.370 0.090 0.382
Pd 0.383 0.617 0.250
Pd 0.617 0.383 0.750
Pd 0.630 0.910 0.618
Pd 0.630 0.910 0.882
Pd 0.910 0.630 0.118
Pd 0.910 0.630 0.382

Space-group type ... Cmcm, No. 63
E above lowest polymorph ... 0 meV per atom
ρ ... 11.27 g/cm³

5.
Compound: Tm4Sb2Te
Source: Alexandria
Functional: PBE-GGA
Structure: relaxed

abc: 7.845 7.845 7.845
angles: 109.61 109.61 109.19
Positions (direct):
Tm 0.126 0.228 0.749
Tm 0.128 0.730 0.751
Tm 0.270 0.022 0.398
Tm 0.480 0.378 0.251
Tm 0.622 0.874 0.102
Tm 0.624 0.872 0.602
Tm 0.772 0.520 0.898
Tm 0.978 0.376 0.249
Sb 0.249 0.625 0.124
Sb 0.375 0.499 0.624
Sb 0.501 0.125 0.876
Sb 0.875 0.751 0.376
Te 0.000 0.000 0.000
Te 0.750 0.250 0.500

E_form (uncorrected) ... -0.94 eV/atom
Space-group type ... I-42d, No. 122
ρ ... 9.35 g/cm³

6.
Compound: KY4ErSe8
Source: Alexandria
Functional: PBE-GGA
Structure: relaxed

abc: 8.560 8.560 8.560
angles: 60.26 60.26 60.26
Positions (direct):
K 0.000 0.000 0.000
Y 0.109 0.629 0.629
Y 0.248 0.248 0.248
Y 0.629 0.109 0.629
Y 0.629 0.629 0.109
Er 0.629 0.629 0.629
Se 0.381 0.381 0.381
Se 0.383 0.383 0.850
Se 0.383 0.850 0.383
Se 0.420 0.857 0.857
Se 0.850 0.383 0.383
Se 0.857 0.420 0.857
Se 0.857 0.857 0.420
Se 0.859 0.859 0.859

E_form (uncorrected) ... -1.76 eV/atom
Space-group type ... R3m, No. 160
ρ ... 4.44 g/cm³

Q: ρ of number 1 (TiHgBi)?
A: 10.18 g/cm³

Q: Number 1 is which compound?
A: TiHgBi

Q: Among the records above, which one has the highest ρ?
A: Hg5W4